# Al2CuBr (PBEsol, optimized geometry)
# E_form (uncorrected) in eV/atom: 0.519
data_Al2CuBr
_space_group_name_H-M_alt 'F -4 3 m'
_space_group_IT_number 216
_space_group_name_Hall 'F -4 2 3'
_cell_length_a 6.681
_cell_length_b 6.681
_cell_length_c 6.681
_cell_angle_alpha 90.00
_cell_angle_beta 90.00
_cell_angle_gamma 90.00
loop_
_atom_site_label
_atom_site_type_symbol
_atom_site_fract_x
_atom_site_fract_y
_atom_site_fract_z
Al1 Al 0.000 0.000 0.000
Al2 Al 0.250 0.250 0.250
Cu1 Cu 0.250 0.250 0.750
Br1 Br 0.000 0.000 0.500



# AlCuBr4 (PBEsol, optimized geometry)
# E_form (uncorrected) in eV/atom: -0.801
data_AlCuBr4
_space_group_name_H-M_alt 'P -4 2 c'
_space_group_IT_number 112
_space_group_name_Hall 'P -4 2c'
_cell_length_a 5.720
_cell_length_b 5.720
_cell_length_c 10.310
_cell_angle_alpha 90.00
_cell_angle_beta 90.00
_cell_angle_gamma 90.00
loop_
_atom_site_label
_atom_site_type_symbol
_atom_site_fract_x
_atom_site_fract_y
_atom_site_fract_z
Al1 Al 0.000 0.500 0.250
Cu1 Cu 0.000 0.000 0.000
Br1 Br 0.242 0.266 0.376